Entry 1:
Computed, not measured: a geometry-optimized Rb3Hf3CuSe8 structure at the GGA-PBE level of DFT.

Cell lengths 9.271, 9.271, 9.271 Å; angles 50.01, 50.01, 50.01 degrees
Positions (direct):
Rb (0.000, 0.500, 0.500)
Rb (0.500, 0.000, 0.500)
Rb (0.500, 0.500, 0.000)
Hf (0.000, 0.000, 0.500)
Hf (0.000, 0.500, 0.000)
Hf (0.500, 0.000, 0.000)
Cu (0.500, 0.500, 0.500)
Se (0.221, 0.730, 0.730)
Se (0.230, 0.230, 0.230)
Se (0.270, 0.270, 0.779)
Se (0.270, 0.779, 0.270)
Se (0.730, 0.221, 0.730)
Se (0.730, 0.730, 0.221)
Se (0.770, 0.770, 0.770)
Se (0.779, 0.270, 0.270)

Results
- ΔE_f (raw): -1.145 eV per atom
- Energy: -5.46 eV/atom
- Space-group type: R-3m
- Density: 5.737 Mg/m³
- Crystal system: trigonal
- DOS(E_F): 5.32 states/eV/cell

=====

Entry 2:
Computed, not measured: a geometry-optimized Rb2HfCu2Se4 structure at the GGA-PBE level of DFT.

Cell lengths 7.611, 7.611, 8.098 Å; angles 107.66, 107.66, 30.43 degrees
Positions (direct):
Rb (0.137, 0.137, 0.066)
Rb (0.863, 0.863, 0.934)
Hf (0.000, 0.000, 0.500)
Cu (0.317, 0.317, 0.513)
Cu (0.683, 0.683, 0.487)
Se (0.191, 0.191, 0.672)
Se (0.482, 0.482, 0.719)
Se (0.518, 0.518, 0.281)
Se (0.809, 0.809, 0.328)

Results
- ΔE_f (raw): -0.961 eV per atom
- Energy: -4.74 eV/atom
- Space-group type: C2/m
- Density: 5.835 Mg/m³
- Crystal system: monoclinic
- DOS(E_F): 0.79 states/eV/cell

=====

> Which formula does entry 1 have?

Rb3Hf3CuSe8